Entry 1:
DFT (PBE) results for an optimized crystal structure of LaCo2WAu.

Calculated volume in Å³ per atom: 21.290
Crystal system: tetragonal
D(E_F) in states/eV per atom: 1.2724
Electronic total energy in eV per cell: -32.6
E_form in eV per formula unit: 2.74

abc: 4.5223 4.5223 5.2050
angles: 90.00 90.00 90.00
Fractional positions:
La (0.0000, 0.0000, 0.0000)
Co (0.0000, 0.5000, 0.5000)
Co (0.5000, 0.0000, 0.5000)
W (0.5000, 0.5000, 0.5000)
Au (0.5000, 0.5000, 0.0000)

=====

Entry 2:
DFT (PBE) results for an optimized crystal structure of Ac2NiAgH6.

Calculated volume in Å³ per atom: 12.160
Crystal system: monoclinic
D(E_F) in states/eV per atom: 0.3166
Electronic total energy in eV per cell: -40.0

abc: 5.5295 5.5295 5.5210
angles: 118.76 118.76 92.07
Fractional positions:
Ac (0.2496, 0.7504, 0.0000)
Ac (0.7504, 0.2496, 0.0000)
Ni (0.0000, 0.0000, 0.5000)
Ag (0.5000, 0.5000, 0.5000)
H (0.2123, 0.2123, 0.9252)
H (0.2121, 0.7879, 0.5000)
H (0.2178, 0.2178, 0.4967)
H (0.7822, 0.7822, 0.5033)
H (0.7879, 0.2121, 0.5000)
H (0.7877, 0.7877, 0.0748)

=====

Entry 3:
DFT (PBE) results for an optimized crystal structure of Mg2PRu.

Calculated volume in Å³ per atom: 16.459
Crystal system: tetragonal
D(E_F) in states/eV per atom: 0.7521
Electronic total energy in eV per cell: -17.7
E_form in eV per formula unit: 0.13

abc: 2.9037 2.9037 7.8082
angles: 90.00 90.00 90.00
Fractional positions:
Mg (0.0000, 0.0000, 0.2456)
Mg (0.0000, 0.0000, 0.7544)
P (0.5000, 0.5000, 0.5000)
Ru (0.5000, 0.5000, 0.0000)

=====

Entry 4:
DFT (PBE) results for an optimized crystal structure of Li2CdHgPb.

Calculated volume in Å³ per atom: 21.582
Crystal system: monoclinic
D(E_F) in states/eV per atom: 0.2786
Electronic total energy in eV per cell: -19.7
E_form in eV per formula unit: -1.12

abc: 5.3952 4.9334 8.5309
angles: 90.00 108.11 90.00
Fractional positions:
Li (0.0477, 0.2500, 0.4057)
Li (0.4285, 0.2500, 0.2210)
Li (0.5715, 0.7500, 0.7790)
Li (0.9523, 0.7500, 0.5943)
Cd (0.2293, 0.2500, 0.7567)
Cd (0.7707, 0.7500, 0.2433)
Hg (0.3387, 0.7500, 0.4287)
Hg (0.6613, 0.2500, 0.5713)
Pb (0.2049, 0.7500, 0.9927)
Pb (0.7951, 0.2500, 0.0073)

=====

Entry 5:
DFT (PBE) results for an optimized crystal structure of DyYCdCo.

Calculated volume in Å³ per atom: 22.617
Crystal system: cubic
D(E_F) in states/eV per atom: 0.7031
Energy above the lowest structure with this stoichiometry in meV/atom: 109
Electronic total energy in eV per cell: -19.7
E_form in eV per formula unit: -0.58

abc: 5.0389 5.0389 5.0389
angles: 60.00 60.00 60.00
Fractional positions:
Dy (0.0000, 0.0000, 0.0000)
Y (0.5000, 0.5000, 0.5000)
Cd (0.2500, 0.2500, 0.2500)
Co (0.7500, 0.7500, 0.7500)

=====

Entry 6:
DFT (PBE) results for an optimized crystal structure of Pr3DyAg.

Calculated volume in Å³ per atom: 34.465
Crystal system: monoclinic
D(E_F) in states/eV per atom: 1.3345
Electronic total energy in eV per cell: -43.0
E_form in eV per formula unit: 0.28

abc: 7.3049 7.3049 8.0705
angles: 116.09 116.09 72.92
Fractional positions:
Pr (0.0471, 0.0471, 0.3051)
Pr (0.1125, 0.5224, 0.3031)
Pr (0.4776, 0.8875, 0.6969)
Pr (0.5224, 0.1125, 0.3031)
Pr (0.8875, 0.4776, 0.6969)
Pr (0.9529, 0.9529, 0.6949)
Dy (0.4235, 0.4235, 0.7376)
Dy (0.5765, 0.5765, 0.2624)
Ag (0.2747, 0.2747, 0.9454)
Ag (0.7253, 0.7253, 0.0546)

=====

Entry 7:
DFT (PBE) results for an optimized crystal structure of LuPu2Mg.

Calculated volume in Å³ per atom: 27.451
Crystal system: tetragonal
D(E_F) in states/eV per atom: 3.5684
Energy above the lowest structure with this stoichiometry in meV/atom: 112
Electronic total energy in eV per cell: -33.7
E_form in eV per formula unit: 1.08

abc: 4.0546 4.0546 6.6790
angles: 90.00 90.00 90.00
Fractional positions:
Lu (0.0000, 0.0000, 0.0000)
Pu (0.5000, 0.5000, 0.2605)
Pu (0.5000, 0.5000, 0.7395)
Mg (0.0000, 0.0000, 0.5000)

=====

Entry 8:
DFT (PBE) results for an optimized crystal structure of Y3ZnPd.

Calculated volume in Å³ per atom: 31.436
Crystal system: cubic
D(E_F) in states/eV per atom: 2.6734
Energy above the lowest structure with this stoichiometry in meV/atom: 414
Electronic total energy in eV per cell: -26.0
E_form in eV per formula unit: -0.15

abc: 5.3967 5.3967 5.3967
angles: 90.00 90.00 90.00
Fractional positions:
Y (0.0000, 0.0000, 0.5000)
Y (0.0000, 0.5000, 0.0000)
Y (0.5000, 0.0000, 0.0000)
Zn (0.5000, 0.5000, 0.5000)
Pd (0.0000, 0.0000, 0.0000)

=====

Entry 9:
DFT (PBE) results for an optimized crystal structure of KReCl2.

Calculated volume in Å³ per atom: 20.239
Raw formation energy in eV/atom: -0.082
Crystal system: orthorhombic
D(E_F) in states/eV per atom: 0.6373
Energy above the lowest structure with this stoichiometry in meV/atom: 0
Electronic total energy in eV per cell: -17.6

abc: 3.0853 3.9144 6.7035
angles: 90.00 90.00 90.00
Fractional positions:
K (0.0000, 0.0000, 0.0000)
Re (0.5000, 0.0000, 0.5000)
Cl (0.5000, 0.5000, 0.2830)
Cl (0.5000, 0.5000, 0.7170)

=====

Entry 10:
DFT (PBE) results for an optimized crystal structure of Ba2LiAlHg6.

Calculated volume in Å³ per atom: 29.390
Crystal system: monoclinic
D(E_F) in states/eV per atom: 0.6054
Electronic total energy in eV per cell: -14.4
E_form in eV per formula unit: -3.07

abc: 7.4569 7.4569 7.4316
angles: 119.77 119.77 90.13
Fractional positions:
Ba (0.2502, 0.7498, 0.0000)
Ba (0.7498, 0.2502, 0.0000)
Li (0.0000, 0.0000, 0.5000)
Al (0.5000, 0.5000, 0.5000)
Hg (0.2432, 0.2432, 0.5002)
Hg (0.2432, 0.2432, 0.9866)
Hg (0.2433, 0.7567, 0.5000)
Hg (0.7567, 0.2433, 0.5000)
Hg (0.7568, 0.7568, 0.0134)
Hg (0.7568, 0.7568, 0.4998)

=====

Entry 11:
DFT (PBE) results for an optimized crystal structure of Mn2WCl.

Calculated volume in Å³ per atom: 13.525
Raw formation energy in eV/atom: 1.135
Crystal system: cubic
D(E_F) in states/eV per atom: 2.5602
Energy above the lowest structure with this stoichiometry in meV/atom: 959
Electronic total energy in eV per cell: -28.6

abc: 4.2452 4.2452 4.2452
angles: 60.00 60.00 60.00
Fractional positions:
Mn (0.2500, 0.2500, 0.2500)
Mn (0.7500, 0.7500, 0.7500)
W (0.0000, 0.0000, 0.0000)
Cl (0.5000, 0.5000, 0.5000)

=====

Entry 12:
DFT (PBE) results for an optimized crystal structure of Pu3Si3B8.

Calculated volume in Å³ per atom: 11.661
Raw formation energy in eV/atom: 0.036
Crystal system: orthorhombic
D(E_F) in states/eV per atom: 1.0932
Electronic total energy in eV per cell: -112.2

abc: 7.7468 7.7468 7.7468
angles: 156.06 119.27 66.24
Fractional positions:
Pu (0.0000, 0.0000, 0.0000)
Pu (0.2924, 0.2924, 0.0000)
Pu (0.7076, 0.7076, 0.0000)
Si (0.2743, 0.5000, 0.7743)
Si (0.5000, 0.0000, 0.5000)
Si (0.7257, 0.5000, 0.2257)
B (0.0143, 0.6396, 0.3747)
B (0.0985, 0.8655, 0.2330)
B (0.2649, 0.6396, 0.6253)
B (0.3675, 0.1345, 0.2330)
B (0.6325, 0.8655, 0.7670)
B (0.7351, 0.3604, 0.3747)
B (0.9015, 0.1345, 0.7670)
B (0.9857, 0.3604, 0.6253)

=====

Repeat the sixth record exactly.
DFT (PBE) results for an optimized crystal structure of Pr3DyAg.

Calculated volume in Å³ per atom: 34.465
Crystal system: monoclinic
D(E_F) in states/eV per atom: 1.3345
Electronic total energy in eV per cell: -43.0
E_form in eV per formula unit: 0.28

abc: 7.3049 7.3049 8.0705
angles: 116.09 116.09 72.92
Fractional positions:
Pr (0.0471, 0.0471, 0.3051)
Pr (0.1125, 0.5224, 0.3031)
Pr (0.4776, 0.8875, 0.6969)
Pr (0.5224, 0.1125, 0.3031)
Pr (0.8875, 0.4776, 0.6969)
Pr (0.9529, 0.9529, 0.6949)
Dy (0.4235, 0.4235, 0.7376)
Dy (0.5765, 0.5765, 0.2624)
Ag (0.2747, 0.2747, 0.9454)
Ag (0.7253, 0.7253, 0.0546)